# Ac2TlRu | Alexandria via LeMat-Bulk | PBE | relaxed
data_Ac2TlRu
_symmetry_space_group_name_H-M 'P 1'
_symmetry_Int_Tables_number 1
_symmetry_space_group_name_Hall 'P 1'
_cell_length_a 8.932
_cell_length_b 8.932
_cell_length_c 8.932
_cell_angle_alpha 27.76
_cell_angle_beta 27.76
_cell_angle_gamma 27.76
loop_
_atom_site_label
_atom_site_type_symbol
_atom_site_fract_x
_atom_site_fract_y
_atom_site_fract_z
Ac1 Ac 0.000 0.000 0.000
Ac2 Ac 0.208 0.208 0.208
Tl1 Tl 0.771 0.771 0.771
Ru1 Ru 0.605 0.605 0.605
# - magnetization (μB/f.u.) = 0.000
# - E_form (eV per formula unit) = -0.62
# - N(E_F) (states/eV/f.u.) = 3.481